Computed, not measured: an optimized crystal structure of ZrIn5 at the PBEsol level of DFT.

Properties
The value obtained for the density of states at the Fermi level is 2.91 states/eV/f.u. As for the energy of formation: -0.100 eV/atom.

Lattice parameters (Å, degrees): 3.2445 6.0567 8.0395 112.32 90.00 105.54
Last column: nearest neighbours and their distance in Å.
Element x y z (fractional)
Zr1 0.2790 0.5580 0.0465  10 In 3.06-3.22, 2 Zr 3.24
In1 0.9963 0.9925 0.0088  9 In 3.12-3.24, 3 Zr 3.12-3.19
In2 0.2989 0.5978 0.6672  9 In 3.06-3.24, 1 Zr 3.15
In3 0.6997 0.3994 0.3163  9 In 3.03-3.32, 2 Zr 3.13
In4 0.5847 0.1694 0.7422  2 Zr 3.06, 9 In 3.10-3.24
In5 0.9747 0.9494 0.3856  8 In 3.03-3.32, 2 Zr 3.22